An optimized crystal structure of Li2NiRu. Source: Alexandria, functional PBEsol.

## Properties
Distance to the lowest polymorph of the same formula = 0.06 eV/f.u.
SG = Immm
E_form = 0.1066 eV/atom
DOS at the Fermi energy = 3.3 states/eV/f.u.

Unit cell a=2.501 b=4.351 c=5.063 alpha=115.45 beta=104.30 gamma=90.00
Last column: magnetic moment on the atom in μB.
Sites, in units of the cell vectors:
Ru: 0.000 0.500 0.000  0.19
Ni: 0.500 0.000 0.000  0.00
Li: 0.764 0.764 0.527  0.00
Li: 0.236 0.236 0.473  0.21